# 1
## Re2SbHW (PBE)

Data for an optimized crystal structure of Re2SbHW.

Results
- Space-group type: P4/mmm, No. 123
- Electronic total energy: -7.856 eV/atom

a = 4.9236 Å, b = 3.3362 Å, c = 4.9236 Å
α = 90.00°, β = 90.00°, γ = 90.00°
Last column: nearest neighbours and their distance in Å.
Positions (direct):
Re (0.0000, 0.0000, 0.5000)  2 W 2.46
H (0.0000, 0.5000, 0.0000)  2 W 1.67
W (0.0000, 0.0000, 0.0000)  2 H 1.67
Re (0.5000, 0.0000, 0.0000)  2 W 2.46
Sb (0.5000, 0.5000, 0.5000)  8 Re 2.97

# 2
## ScReH2 (PBE)

Data for an optimized crystal structure of ScReH2.

Results
- Space-group type: I-42d, No. 122
- Electronic total energy: -6.432 eV/atom
- Energy above the lowest structure with this stoichiometry: 0.0 meV/atom

a = 4.2410 Å, b = 4.2410 Å, c = 5.5105 Å
α = 67.37°, β = 67.37°, γ = 90.00°
Last column: nearest neighbours and their distance in Å.
Positions (direct):
Sc (0.5000, 0.5000, 0.0000)  4 H 1.99
H (0.6647, 0.1250, 0.2500)  2 Re 1.80, 2 Sc 1.99
H (0.8750, 0.9147, 0.7500)  2 Re 1.80, 2 Sc 1.99
Re (0.0000, 0.0000, 0.0000)  4 H 1.80
H (0.3750, 0.3353, 0.7500)  2 Re 1.80, 2 Sc 1.99
H (0.0853, 0.6250, 0.2500)  2 Re 1.80, 2 Sc 1.99
Re (0.7500, 0.2500, 0.5000)  4 H 1.80
Sc (0.2500, 0.7500, 0.5000)  4 H 1.99

# 3
## ScReH2 (PBE)

Data for an optimized crystal structure of ScReH2.

Results
- Space-group type: Fm-3m, No. 225
- Electronic total energy: -5.874 eV/atom
- Energy above the lowest structure with this stoichiometry: 558.2 meV/atom

a = 3.8567 Å, b = 3.8567 Å, c = 3.8567 Å
α = 60.00°, β = 60.00°, γ = 60.00°
Last column: nearest neighbours and their distance in Å.
Positions (direct):
H (0.2500, 0.2500, 0.2500)  4 Re 2.36, 4 Sc 2.36
Sc (0.0000, 0.0000, 0.0000)  8 H 2.36
H (0.7500, 0.7500, 0.7500)  4 Re 2.36, 4 Sc 2.36
Re (0.5000, 0.5000, 0.5000)  8 H 2.36

# 4
## Sc4ReH2 (PBE)

Data for an optimized crystal structure of Sc4ReH2.

Results
- Space-group type: I4/mmm, No. 139
- Electronic total energy: -6.192 eV/atom

a = 4.9544 Å, b = 4.9544 Å, c = 6.4052 Å
α = 67.25°, β = 67.25°, γ = 90.00°
Last column: nearest neighbours and their distance in Å.
Positions (direct):
Sc (0.5000, 0.0000, 0.0000)  2 Re 2.48, 4 H 2.60
Sc (0.2473, 0.2473, 0.5054)  1 H 1.90
Sc (0.7527, 0.7527, 0.4946)  1 H 1.90
Sc (0.0000, 0.5000, 0.0000)  2 Re 2.48, 4 H 2.60
Re (0.0000, 0.0000, 0.0000)  6 Sc 2.48-2.65
H (0.4249, 0.4249, 0.1502)  1 H 1.61
H (0.5751, 0.5751, 0.8498)  1 H 1.61

What did the second record say?
## ScReH2 (PBE)

Data for an optimized crystal structure of ScReH2.

Results
- Space-group type: I-42d, No. 122
- Electronic total energy: -6.432 eV/atom
- Energy above the lowest structure with this stoichiometry: 0.0 meV/atom

a = 4.2410 Å, b = 4.2410 Å, c = 5.5105 Å
α = 67.37°, β = 67.37°, γ = 90.00°
Last column: nearest neighbours and their distance in Å.
Positions (direct):
Sc (0.5000, 0.5000, 0.0000)  4 H 1.99
H (0.6647, 0.1250, 0.2500)  2 Re 1.80, 2 Sc 1.99
H (0.8750, 0.9147, 0.7500)  2 Re 1.80, 2 Sc 1.99
Re (0.0000, 0.0000, 0.0000)  4 H 1.80
H (0.3750, 0.3353, 0.7500)  2 Re 1.80, 2 Sc 1.99
H (0.0853, 0.6250, 0.2500)  2 Re 1.80, 2 Sc 1.99
Re (0.7500, 0.2500, 0.5000)  4 H 1.80
Sc (0.2500, 0.7500, 0.5000)  4 H 1.99